# 1
A relaxed Mo5W crystal, computed with PBE.

POSCAR file:
```
Mo5W
1.0
5.089 0.000 0.000
-2.545 4.407 0.000
0.000 0.000 4.612
Mo W
5 1
Direct
0.000 0.500 0.000
0.333 0.667 0.500
0.500 0.000 0.000
0.500 0.500 0.000
0.667 0.333 0.500
0.000 0.000 0.500
```

## Properties
Total magnetization ... 0.00 μB/cell
Polymorph energy (0 for the lowest one) ... 0.672 eV/atom
Energy of formation from the pure elements ... 0.653 eV per atom
Space group ... P6/mmm, No. 191

# 2
A relaxed Nd2HoAu2 crystal, computed with PBE.

POSCAR file:
```
Nd2HoAu2
1.0
-2.004 3.557 4.888
2.004 -3.557 4.888
2.004 3.557 -4.888
Nd Ho Au
2 1 2
Direct
0.199 0.199 0.000
0.801 0.801 0.000
0.500 0.000 0.500
0.209 0.500 0.709
0.791 0.500 0.291
```

## Properties
Total magnetization ... 0.00 μB/cell
Polymorph energy (0 for the lowest one) ... 0.039 eV/atom
Energy of formation from the pure elements ... -0.610 eV per atom
Space group ... Immm, No. 71

Repeat the second record exactly.
A relaxed Nd2HoAu2 crystal, computed with PBE.

POSCAR file:
```
Nd2HoAu2
1.0
-2.004 3.557 4.888
2.004 -3.557 4.888
2.004 3.557 -4.888
Nd Ho Au
2 1 2
Direct
0.199 0.199 0.000
0.801 0.801 0.000
0.500 0.000 0.500
0.209 0.500 0.709
0.791 0.500 0.291
```

## Properties
Total magnetization ... 0.00 μB/cell
Polymorph energy (0 for the lowest one) ... 0.039 eV/atom
Energy of formation from the pure elements ... -0.610 eV per atom
Space group ... Immm, No. 71

Question: Which formula does entry 1 have?
Answer: Mo5W